[1]
CsZrCrAg2 | PBE-GGA | optimized geometry

Cell lengths 5.5921, 5.5921, 5.3347 Å; angles 90.00, 90.00, 90.00 degrees
Closest atoms and distances in Å follow each position.
Space group P4/mmm (No. 123)
Unique sites:
Cs 0.0000 0.0000 0.0000 (multiplicity 1)  2 Cr 2.67, 4 Ag 2.80
Zr 0.5000 0.5000 0.5000 (multiplicity 1)  8 Ag 3.86, 4 Cr 3.95
Cr 0.0000 0.0000 0.5000 (multiplicity 1)  2 Cs 2.67
Ag 0.0000 0.5000 0.0000 (multiplicity 2)  2 Cs 2.80

Output
As for the total energy: -2.9206 eV per atom. For the formation energy, the calculation gives 2025 meV/atom.


[2]
CrCuAg2 | PBE-GGA | optimized geometry

Cell lengths 4.0058, 4.0325, 7.9726 Å; angles 90.00, 90.00, 90.00 degrees
Closest atoms and distances in Å follow each position.
Space group Imm2 (No. 44)
Unique sites:
Cr 0.0000 0.0000 0.0000 (multiplicity 2)  4 Cu 2.82-2.84, 8 Ag 2.83-2.84
Cu 0.0000 0.5000 0.7488 (multiplicity 2)  4 Cr 2.82-2.84, 8 Ag 2.83-2.84
Ag 0.0000 0.0000 0.4989 (multiplicity 2)  4 Cu 2.83, 4 Ag 2.83, 4 Cr 2.84
Ag 0.0000 0.5000 0.2497 (multiplicity 2)  4 Cr 2.83, 4 Ag 2.83, 4 Cu 2.84

Output
As for the total energy: -4.5422 eV per atom. For the formation energy, the calculation gives 313 meV/atom.


[3]
CrCuAg2 | PBE-GGA | optimized geometry

Cell lengths 6.3686, 6.3686, 6.3686 Å; angles 90.00, 90.00, 90.00 degrees
Closest atoms and distances in Å follow each position.
Space group Fm-3m (No. 225)
Unique sites:
Cr 0.0000 0.0000 0.0000 (multiplicity 4)  8 Ag 2.76
Cu 0.0000 0.0000 0.5000 (multiplicity 4)  8 Ag 2.76
Ag 0.2500 0.2500 0.2500 (multiplicity 8)  4 Cr 2.76, 4 Cu 2.76

Output
As for the total energy: -4.5062 eV per atom. For the formation energy, the calculation gives 349 meV/atom.


[4]
CrCuAg2 | PBE-GGA | optimized geometry

Cell lengths 2.7117, 2.7117, 8.1024 Å; angles 90.00, 90.00, 90.00 degrees
Closest atoms and distances in Å follow each position.
Space group P4mm (No. 99)
Unique sites:
Cr 0.0000 0.0000 0.0000 (multiplicity 1)  4 Cu 2.55, 4 Cr 2.71, 4 Ag 2.84
Cu 0.5000 0.5000 0.2081 (multiplicity 1)  4 Cr 2.55, 4 Cu 2.71, 4 Ag 2.78
Ag 0.0000 0.0000 0.4572 (multiplicity 1)  8 Ag 2.71-3.00, 4 Cu 2.78
Ag 0.5000 0.5000 0.7420 (multiplicity 1)  8 Ag 2.71-3.00, 4 Cr 2.84

Output
As for the total energy: -4.4676 eV per atom. For the formation energy, the calculation gives 388 meV/atom.


[5]
CrCuAg2 | PBE-GGA | optimized geometry

Cell lengths 7.2743, 7.2743, 5.4185 Å; angles 90.00, 90.00, 90.00 degrees
Closest atoms and distances in Å follow each position.
Space group I-42d (No. 122)
Unique sites:
Cr 0.0000 0.0000 0.0000 (multiplicity 4)  2 Cu 2.71, 4 Ag 2.78
Cu 0.0000 0.0000 0.5000 (multiplicity 4)  4 Ag 2.55, 2 Cr 2.71
Ag 0.2272 0.2500 0.6250 (multiplicity 8)  2 Cu 2.55, 2 Ag 2.73, 2 Cr 2.78

Output
As for the total energy: -4.2658 eV per atom. For the formation energy, the calculation gives 590 meV/atom.


[6]
CrCuAg2 | PBE-GGA | optimized geometry

Cell lengths 2.6923, 2.6923, 8.2074 Å; angles 90.00, 90.00, 90.00 degrees
Closest atoms and distances in Å follow each position.
Space group P4/mmm (No. 123)
Unique sites:
Cr 0.0000 0.0000 0.0000 (multiplicity 1)  4 Cr 2.69, 8 Ag 2.83
Cu 0.0000 0.0000 0.5000 (multiplicity 1)  4 Cu 2.69, 8 Ag 2.77
Ag 0.5000 0.5000 0.2544 (multiplicity 2)  4 Ag 2.69, 4 Cu 2.77, 4 Cr 2.83

Output
As for the total energy: -4.3824 eV per atom. For the formation energy, the calculation gives 473 meV/atom.


[7]
CrCu4Ag | PBE-GGA | optimized geometry

Cell lengths 6.9177, 6.9177, 6.9177 Å; angles 90.00, 90.00, 90.00 degrees
Closest atoms and distances in Å follow each position.
Space group F-43m (No. 216)
Unique sites:
Cr 0.0000 0.0000 0.0000 (multiplicity 4)  12 Cu 2.87, 4 Ag 3.00
Cu 0.1251 0.1251 0.6251 (multiplicity 16)  6 Cu 2.44-2.45
Ag 0.2500 0.2500 0.2500 (multiplicity 4)  12 Cu 2.87, 4 Cr 3.00

Output
As for the total energy: -4.6427 eV per atom. For the formation energy, the calculation gives 167 meV/atom.


[8]
CrCu3Ag | PBE-GGA | optimized geometry

Cell lengths 4.6875, 4.6875, 4.6875 Å; angles 90.00, 90.00, 90.00 degrees
Closest atoms and distances in Å follow each position.
Space group Pm-3m (No. 221)
Unique sites:
Cr 0.0000 0.0000 0.0000 (multiplicity 1)  12 Cu 3.31
Cu 0.0000 0.5000 0.5000 (multiplicity 3)  2 Ag 2.34
Ag 0.5000 0.5000 0.5000 (multiplicity 1)  6 Cu 2.34

Output
As for the total energy: -3.7957 eV per atom. For the formation energy, the calculation gives 1157 meV/atom.


[9]
CrCuAg2 | PBE-GGA | optimized geometry

Cell lengths 2.9040, 2.9040, 26.7037 Å; angles 90.00, 90.00, 120.00 degrees
Closest atoms and distances in Å follow each position.
Space group R-3m (No. 166, hexagonal axes)
Unique sites:
Cr 0.0000 0.0000 0.0000 (multiplicity 3)  6 Ag 2.84, 6 Cr 2.90
Cu 0.0000 0.0000 0.5000 (multiplicity 3)  6 Ag 2.73, 6 Cu 2.90
Ag 0.0000 0.0000 0.2473 (multiplicity 6)  3 Cu 2.73, 3 Cr 2.84, 6 Ag 2.90

Output
As for the total energy: -4.4377 eV per atom. For the formation energy, the calculation gives 418 meV/atom.


[10]
CrCuAg2 | PBE-GGA | optimized geometry

Cell lengths 4.0475, 4.0475, 7.8604 Å; angles 90.00, 90.00, 90.00 degrees
Closest atoms and distances in Å follow each position.
Space group I4/mmm (No. 139)
Unique sites:
Cr 0.0000 0.0000 0.0000 (multiplicity 2)  8 Ag 2.82, 4 Cu 2.86
Cu 0.0000 0.0000 0.5000 (multiplicity 2)  8 Ag 2.82, 4 Cr 2.86
Ag 0.0000 0.5000 0.2500 (multiplicity 4)  4 Cr 2.82, 4 Cu 2.82, 4 Ag 2.86

Output
As for the total energy: -4.5352 eV per atom. For the formation energy, the calculation gives 320 meV/atom.


[11]
CrCuAg2 | PBE-GGA | optimized geometry

Cell lengths 5.7430, 7.5868, 2.9819 Å; angles 90.00, 90.00, 90.00 degrees
Closest atoms and distances in Å follow each position.
Space group Cmmm (No. 65)
Unique sites:
Cr 0.0000 0.0000 0.0000 (multiplicity 2)  8 Ag 2.81, 2 Cu 2.87, 2 Cr 2.98
Cu 0.0000 0.5000 0.0000 (multiplicity 2)  8 Ag 2.81, 2 Cr 2.87, 2 Cu 2.98
Ag 0.2500 0.2500 0.5000 (multiplicity 4)  4 Cu 2.81, 4 Cr 2.81, 4 Ag 2.87-2.98

Output
As for the total energy: -4.4978 eV per atom. For the formation energy, the calculation gives 358 meV/atom.


[12]
CrCuAg2 | PBE-GGA | optimized geometry

Cell lengths 4.0120, 4.0120, 4.0287 Å; angles 90.00, 90.00, 90.00 degrees
Closest atoms and distances in Å follow each position.
Space group P4/mmm (No. 123)
Unique sites:
Cr 0.0000 0.0000 0.0000 (multiplicity 1)  4 Cu 2.84, 8 Ag 2.84
Cu 0.5000 0.5000 0.0000 (multiplicity 1)  4 Cr 2.84, 8 Ag 2.84
Ag 0.0000 0.5000 0.5000 (multiplicity 2)  4 Ag 2.84, 4 Cr 2.84, 4 Cu 2.84

Output
As for the total energy: -4.5412 eV per atom. For the formation energy, the calculation gives 314 meV/atom.